Here is an optimized crystal structure of PuBeGe2Pd4 from the Alexandria database. Energies are from PBE.

Cell lengths 8.6795, 8.6795, 8.6795 Å; angles 28.67, 28.67, 28.67 degrees
Sites, in units of the cell vectors:
Pu: 0.0000 0.0000 0.0000
Be: 0.5000 0.5000 0.5000
Ge: 0.2475 0.2475 0.2475
Ge: 0.7525 0.7525 0.7525
Pd: 0.1390 0.1390 0.1390
Pd: 0.4091 0.4091 0.4091
Pd: 0.5909 0.5909 0.5909
Pd: 0.8610 0.8610 0.8610

M_tot: 0.6843 μB/atom
Formation energy from the elements: -3.8 eV/f.u.


Here is an optimized crystal structure of CsYAl2Zn from the Alexandria database. Energies are from PBE.

Cell lengths 5.0351, 5.0351, 5.7684 Å; angles 90.00, 90.00, 90.00 degrees
Sites, in units of the cell vectors:
Cs: 0.0000 0.0000 0.0000
Y: 0.5000 0.5000 0.0000
Al: 0.0000 0.5000 0.5000
Al: 0.5000 0.0000 0.5000
Zn: 0.0000 0.0000 0.5000

M_tot: 0.0000 μB/atom
Formation energy from the elements: 3.2 eV/f.u.


Here is an optimized crystal structure of K2TiAsSe5 from the Alexandria database. Energies are from PBE.

Cell lengths 9.9383, 9.9383, 13.5684 Å; angles 90.00, 90.00, 155.87 degrees
Sites, in units of the cell vectors:
K: 0.1202 0.8798 0.5000
K: 0.1354 0.8646 0.8644
K: 0.8646 0.1354 0.3644
K: 0.8798 0.1202 0.0000
Ti: 0.2070 0.7930 0.2147
Ti: 0.7930 0.2070 0.7147
As: 0.4315 0.5685 0.6039
As: 0.5685 0.4315 0.1039
Se: 0.0599 0.9401 0.2037
Se: 0.3071 0.6929 0.8262
Se: 0.3090 0.6910 0.5740
Se: 0.3249 0.6751 0.1793
Se: 0.4888 0.5112 0.4542
Se: 0.5112 0.4888 0.9542
Se: 0.6751 0.3249 0.6793
Se: 0.6910 0.3090 0.0740
Se: 0.6929 0.3071 0.3262
Se: 0.9401 0.0599 0.7037

M_tot: 0.0000 μB/atom
Raw formation energy: -804 meV/atom


Here is an optimized crystal structure of Sb3AuSe3 from the Alexandria database. Energies are from PBE.

Cell lengths 8.2722, 4.0041, 11.5362 Å; angles 90.00, 90.00, 90.00 degrees
Sites, in units of the cell vectors:
Sb: 0.1196 0.2500 0.1175
Sb: 0.1220 0.2500 0.6231
Sb: 0.3767 0.7500 0.8437
Sb: 0.6233 0.2500 0.1563
Sb: 0.8780 0.7500 0.3769
Sb: 0.8804 0.7500 0.8825
Au: 0.1275 0.2500 0.8735
Au: 0.8725 0.7500 0.1265
Se: 0.1276 0.2500 0.3848
Se: 0.3720 0.7500 0.6157
Se: 0.3740 0.7500 0.1323
Se: 0.6260 0.2500 0.8677
Se: 0.6280 0.2500 0.3843
Se: 0.8724 0.7500 0.6152

M_tot: 0.0000 μB/atom
Raw formation energy: -162 meV/atom


Here is an optimized crystal structure of U2NiSe5 from the Alexandria database. Energies are from PBE.

Cell lengths 7.8551, 11.0434, 3.9055 Å; angles 90.00, 90.00, 90.00 degrees
Sites, in units of the cell vectors:
U: 0.0727 0.1794 0.0000
U: 0.4273 0.6794 0.0000
U: 0.5727 0.3206 0.0000
U: 0.9273 0.8206 0.0000
Ni: 0.0000 0.5000 0.5000
Ni: 0.5000 0.0000 0.5000
Se: 0.0000 0.0000 0.5000
Se: 0.1480 0.6986 0.5000
Se: 0.1766 0.4346 0.0000
Se: 0.3234 0.9346 0.0000
Se: 0.3520 0.1986 0.5000
Se: 0.5000 0.5000 0.5000
Se: 0.6480 0.8014 0.5000
Se: 0.6766 0.0654 0.0000
Se: 0.8234 0.5654 0.0000
Se: 0.8520 0.3014 0.5000

M_tot: 0.6045 μB/atom
Raw formation energy: -856 meV/atom


Here is an optimized crystal structure of CoP2 from the Alexandria database. Energies are from PBE.

Cell lengths 3.4885, 3.4885, 4.5184 Å; angles 98.01, 98.01, 127.94 degrees
Sites, in units of the cell vectors:
Co: 0.0000 0.0000 0.0000
P: 0.1640 0.5514 0.7125
P: 0.4486 0.8360 0.2875

M_tot: 0.0000 μB/atom
Formation energy from the elements: 0.0 eV/f.u.


Here is an optimized crystal structure of CdGa2O from the Alexandria database. Energies are from PBE.

Cell lengths 5.8015, 5.8015, 5.8015 Å; angles 113.43, 113.43, 101.81 degrees
Sites, in units of the cell vectors:
Cd: 0.0000 0.0000 0.0000
Cd: 0.7500 0.2500 0.5000
Ga: 0.2096 0.6250 0.0846
Ga: 0.3750 0.4596 0.5846
Ga: 0.5404 0.1250 0.9154
Ga: 0.8750 0.7904 0.4154
O: 0.2500 0.7500 0.5000
O: 0.5000 0.5000 0.0000

M_tot: 0.0000 μB/atom
Raw formation energy: -427 meV/atom


Here is an optimized crystal structure of KSiSb2Te from the Alexandria database. Energies are from PBE.

Cell lengths 5.3579, 5.3579, 5.5818 Å; angles 90.00, 90.00, 90.00 degrees
Sites, in units of the cell vectors:
K: 0.0000 0.0000 0.0000
Si: 0.5000 0.5000 0.5000
Sb: 0.0000 0.5000 0.5000
Sb: 0.5000 0.0000 0.5000
Te: 0.5000 0.5000 0.0000

M_tot: 0.0001 μB/atom
Raw formation energy: 176 meV/atom